Entry 1:
# Na3PtCl6

A geometry-optimized Na3PtCl6 structure (PBE, Alexandria).

Cell lengths 7.9976, 7.9976, 7.9976 Å; angles 90.61, 90.61, 90.61 degrees
With the nearest neighbours (Å) after each atom.
Element x y z (fractional)
Na 0.4300 0.9130 0.7587  6 Cl 2.80-2.92
Na 0.9130 0.7587 0.4300  6 Cl 2.80-2.92
Na 0.2413 0.5700 0.0870  6 Cl 2.80-2.92
Na 0.7587 0.4300 0.9130  6 Cl 2.80-2.92
Na 0.0870 0.2413 0.5700  6 Cl 2.80-2.92
Na 0.5700 0.0870 0.2413  6 Cl 2.80-2.92
Pt 0.0000 0.0000 0.0000  6 Cl 2.45
Pt 0.5000 0.5000 0.5000  6 Cl 2.44
Cl 0.2878 0.9293 0.0792  1 Pt 2.45
Cl 0.0707 0.9208 0.7122  1 Pt 2.45
Cl 0.5629 0.7952 0.4580  1 Pt 2.44
Cl 0.9208 0.7122 0.0707  1 Pt 2.45
Cl 0.4580 0.5629 0.7952  1 Pt 2.44
Cl 0.2048 0.5420 0.4371  1 Pt 2.44
Cl 0.7952 0.4580 0.5629  1 Pt 2.44
Cl 0.5420 0.4371 0.2048  1 Pt 2.44
Cl 0.0792 0.2878 0.9293  1 Pt 2.45
Cl 0.4371 0.2048 0.5420  1 Pt 2.44
Cl 0.9293 0.0792 0.2878  1 Pt 2.45
Cl 0.7122 0.0707 0.9208  1 Pt 2.45

Computed properties:
- symmetry = R-3 (148)
- energy (eV per atom) = -3.30
- energy above the most stable polymorph in this dataset (eV per formula unit) = 0.048
- raw formation energy (eV per atom) = -1.19


Entry 2:
# Na2PtCl

A geometry-optimized Na2PtCl structure (PBE, Alexandria).

Cell lengths 7.7355, 7.7355, 6.1559 Å; angles 51.08, 51.08, 90.00 degrees
With the nearest neighbours (Å) after each atom.
Element x y z (fractional)
Na 0.6010 0.1250 0.2500  2 Cl 2.70, 2 Na 2.85, 2 Pt 2.95
Na 0.1490 0.6250 0.2500  2 Cl 2.70, 2 Na 2.85, 2 Pt 2.95
Na 0.3750 0.3990 0.7500  2 Cl 2.70, 2 Na 2.85, 2 Pt 2.95
Na 0.8750 0.8510 0.7500  2 Cl 2.70, 2 Na 2.85, 2 Pt 2.95
Pt 0.0000 0.0000 0.0000  2 Cl 2.82, 4 Na 2.95
Pt 0.7500 0.2500 0.5000  2 Cl 2.82, 4 Na 2.95
Cl 0.5000 0.5000 0.0000  4 Na 2.70, 2 Pt 2.82
Cl 0.2500 0.7500 0.5000  4 Na 2.70, 2 Pt 2.82

Computed properties:
- symmetry = I-42d (122)
- energy (eV per atom) = -2.99
- energy above the most stable polymorph in this dataset (eV per formula unit) = 0.000
- raw formation energy (eV per atom) = -0.36


Entry 3:
# NaPtCl

A geometry-optimized NaPtCl structure (PBE, Alexandria).

Cell lengths 7.7269, 7.7269, 3.6846 Å; angles 90.00, 90.00, 143.06 degrees
With the nearest neighbours (Å) after each atom.
Element x y z (fractional)
Na 0.8994 0.1006 0.2500  2 Cl 2.69
Na 0.1006 0.8994 0.7500  2 Cl 2.69
Pt 0.5606 0.4394 0.2500  2 Cl 2.51, 2 Pt 2.56
Pt 0.4394 0.5606 0.7500  2 Cl 2.51, 2 Pt 2.56
Cl 0.3233 0.6767 0.2500  2 Pt 2.51, 2 Na 2.69
Cl 0.6767 0.3233 0.7500  2 Pt 2.51, 2 Na 2.69

Computed properties:
- symmetry = Cmcm (63)
- energy (eV per atom) = -3.76
- energy above the most stable polymorph in this dataset (eV per formula unit) = 0.218
- raw formation energy (eV per atom) = -0.69


Entry 4:
# NaPtCl2

A geometry-optimized NaPtCl2 structure (PBE, Alexandria).

Cell lengths 4.7618, 4.7618, 4.7618 Å; angles 60.00, 60.00, 60.00 degrees
With the nearest neighbours (Å) after each atom.
Element x y z (fractional)
Na 0.0000 0.0000 0.0000  8 Cl 2.92
Pt 0.5000 0.5000 0.5000  8 Cl 2.92
Cl 0.2500 0.2500 0.2500  4 Na 2.92, 4 Pt 2.92
Cl 0.7500 0.7500 0.7500  4 Pt 2.92, 4 Na 2.92

Computed properties:
- symmetry = Fm-3m (225)
- energy (eV per atom) = -3.01
- energy above the most stable polymorph in this dataset (eV per formula unit) = 1.481
- raw formation energy (eV per atom) = -0.25


Entry 5:
# Na2PtCl5

A geometry-optimized Na2PtCl5 structure (PBE, Alexandria).

Cell lengths 7.1532, 7.1273, 7.2213 Å; angles 121.39, 119.69, 90.00 degrees
With the nearest neighbours (Å) after each atom.
Element x y z (fractional)
Na 0.1449 0.6381 0.2897  4 Cl 2.76-2.83
Na 0.6582 0.2163 0.3163  5 Cl 2.74-2.83
Pt 0.0261 0.0281 0.0522  5 Cl 2.34-2.50
Cl 0.7717 0.2324 0.9997  1 Pt 2.34
Cl 0.2280 0.2324 0.9997  1 Pt 2.34
Cl 0.8505 0.8696 0.1644  1 Pt 2.34
Cl 0.3139 0.8696 0.1644  1 Pt 2.34
Cl 0.7838 0.6907 0.5675  1 Pt 2.50, 1 Na 2.74

Computed properties:
- symmetry = Cm (8)
- energy (eV per atom) = -3.26
- energy above the most stable polymorph in this dataset (eV per formula unit) = 0.752
- raw formation energy (eV per atom) = -1.02


Entry 6:
# Na6Pt3Cl14

A geometry-optimized Na6Pt3Cl14 structure (PBE, Alexandria).

Cell lengths 6.8224, 10.2727, 10.2727 Å; angles 120.00, 90.00, 90.00 degrees
With the nearest neighbours (Å) after each atom.
Element x y z (fractional)
Na 0.3080 0.7736 0.0189  6 Cl 2.75-2.92
Na 0.3080 0.9811 0.7547  6 Cl 2.75-2.92
Na 0.3080 0.2453 0.2264  6 Cl 2.75-2.92
Na 0.8102 0.5511 0.6032  6 Cl 2.82-3.04
Na 0.8102 0.3968 0.9480  6 Cl 2.82-3.04
Na 0.8102 0.0520 0.4489  6 Cl 2.82-3.04
Pt 0.8575 0.0000 0.0000  4 Cl 2.37-2.44
Pt 0.3803 0.3333 0.6667  4 Cl 2.35-2.45
Pt 0.3274 0.6667 0.3333  6 Cl 2.35-2.36
Cl 0.0528 0.0256 0.2103  1 Pt 2.44
Cl 0.0528 0.7897 0.8154  1 Pt 2.44
Cl 0.0528 0.1846 0.9744  1 Pt 2.44
Cl 0.5842 0.2815 0.4492  1 Pt 2.45
Cl 0.5842 0.5508 0.8322  1 Pt 2.45
Cl 0.5842 0.1678 0.7185  1 Pt 2.45
Cl 0.5109 0.0000 0.0000  1 Pt 2.37
Cl 0.0362 0.3333 0.6667  1 Pt 2.35
Cl 0.5281 0.8111 0.2672  1 Pt 2.35
Cl 0.5281 0.7328 0.5439  1 Pt 2.35
Cl 0.5281 0.4561 0.1889  1 Pt 2.35
Cl 0.1269 0.5187 0.3955  1 Pt 2.36
Cl 0.1269 0.6045 0.1232  1 Pt 2.36
Cl 0.1269 0.8768 0.4813  1 Pt 2.36

Computed properties:
- symmetry = P3 (143)
- energy (eV per atom) = -3.25
- raw formation energy (eV per atom) = -0.99


Entry 7:
# NaPtCl

A geometry-optimized NaPtCl structure (PBE, Alexandria).

Cell lengths 6.2481, 3.6806, 5.9603 Å; angles 90.00, 86.11, 90.00 degrees
With the nearest neighbours (Å) after each atom.
Element x y z (fractional)
Na 0.1846 0.2500 0.7507  4 Cl 2.82-3.15, 3 Pt 2.91-3.08
Na 0.8154 0.7500 0.2493  4 Cl 2.82-3.15, 3 Pt 2.91-3.08
Pt 0.6164 0.2500 0.9055  2 Cl 2.50, 2 Pt 2.56
Pt 0.3836 0.7500 0.0945  2 Cl 2.50, 2 Pt 2.56
Cl 0.1655 0.2500 0.2797  2 Pt 2.50
Cl 0.8345 0.7500 0.7203  2 Pt 2.50

Computed properties:
- symmetry = P2_1/m (11)
- energy (eV per atom) = -3.76
- energy above the most stable polymorph in this dataset (eV per formula unit) = 0.203
- raw formation energy (eV per atom) = -0.69


Entry 8:
# NaPtCl2

A geometry-optimized NaPtCl2 structure (PBE, Alexandria).

Cell lengths 5.2848, 5.2848, 8.1435 Å; angles 71.07, 71.07, 90.00 degrees
With the nearest neighbours (Å) after each atom.
Element x y z (fractional)
Na 0.5000 0.5000 0.0000  4 Cl 2.75
Na 0.2500 0.7500 0.5000  4 Cl 2.75
Pt 0.0000 0.0000 0.0000  4 Cl 2.47
Pt 0.7500 0.2500 0.5000  4 Cl 2.47
Cl 0.6759 0.1250 0.2500  2 Pt 2.47, 2 Na 2.75
Cl 0.0741 0.6250 0.2500  2 Pt 2.47, 2 Na 2.75
Cl 0.3750 0.3241 0.7500  2 Pt 2.47, 2 Na 2.75
Cl 0.8750 0.9259 0.7500  2 Pt 2.47, 2 Na 2.75

Computed properties:
- symmetry = I-42d (122)
- energy (eV per atom) = -3.25
- energy above the most stable polymorph in this dataset (eV per formula unit) = 0.520
- raw formation energy (eV per atom) = -0.49


Entry 9:
# NaPtCl4

A geometry-optimized NaPtCl4 structure (PBE, Alexandria).

Cell lengths 6.9674, 6.9674, 7.5390 Å; angles 89.94, 89.94, 69.87 degrees
With the nearest neighbours (Å) after each atom.
Element x y z (fractional)
Na 0.5000 0.0000 0.5000  6 Cl 2.79-2.88
Na 0.0000 0.5000 0.0000  6 Cl 2.79-2.88
Pt 0.0002 0.9998 0.2500  6 Cl 2.34-2.51
Pt 0.9998 0.0002 0.7500  6 Cl 2.34-2.51
Cl 0.2042 0.2049 0.7495  1 Pt 2.34
Cl 0.2073 0.7925 0.5001  2 Pt 2.51
Cl 0.7927 0.2075 0.4999  2 Pt 2.51
Cl 0.2049 0.2042 0.2495  1 Pt 2.34
Cl 0.7951 0.7958 0.7505  1 Pt 2.34
Cl 0.2075 0.7927 0.9999  2 Pt 2.51
Cl 0.7925 0.2073 0.0001  2 Pt 2.51
Cl 0.7958 0.7951 0.2505  1 Pt 2.34

Computed properties:
- symmetry = C2/c (15)
- energy (eV per atom) = -3.27
- raw formation energy (eV per atom) = -0.82


Entry 10:
# NaPtCl

A geometry-optimized NaPtCl structure (PBE, Alexandria).

Cell lengths 8.1217, 4.5732, 4.5732 Å; angles 119.97, 106.79, 73.21 degrees
With the nearest neighbours (Å) after each atom.
Element x y z (fractional)
Na 0.6577 0.9992 0.0008  3 Cl 2.70
Na 0.1260 0.8386 0.1614  3 Cl 2.70
Pt 0.8912 0.2523 0.7477  3 Pt 2.64
Pt 0.8908 0.5858 0.4142  2 Cl 2.36-2.37
Cl 0.5814 0.6919 0.3081  1 Pt 2.37
Cl 0.1987 0.4803 0.5197  1 Pt 2.36

Computed properties:
- symmetry = Cm (8)
- energy (eV per atom) = -3.76
- energy above the most stable polymorph in this dataset (eV per formula unit) = 0.198
- raw formation energy (eV per atom) = -0.69


Entry 11:
# Na2PtCl5

A geometry-optimized Na2PtCl5 structure (PBE, Alexandria).

Cell lengths 5.3397, 7.0671, 12.3621 Å; angles 90.00, 90.00, 112.20 degrees
With the nearest neighbours (Å) after each atom.
Element x y z (fractional)
Na 0.8403 0.6806 0.4198  5 Cl 2.73-2.89
Na 0.8403 0.6806 0.0802  5 Cl 2.73-2.89
Na 0.1597 0.3194 0.5802  5 Cl 2.73-2.89
Na 0.1597 0.3194 0.9198  5 Cl 2.73-2.89
Pt 0.8162 0.6325 0.7500  4 Cl 2.33-2.36
Pt 0.1838 0.3675 0.2500  4 Cl 2.33-2.36
Cl 0.9416 0.8832 0.8833  1 Pt 2.33
Cl 0.9416 0.8832 0.6167  1 Pt 2.33
Cl 0.3089 0.6178 0.3872  1 Pt 2.36
Cl 0.3089 0.6178 0.1128  1 Pt 2.36
Cl 0.6921 0.3842 0.2500  2 Pt 2.67, 2 Na 2.86
Cl 0.3079 0.6158 0.7500  2 Pt 2.67, 2 Na 2.86
Cl 0.6911 0.3822 0.6128  1 Pt 2.36
Cl 0.6911 0.3822 0.8872  1 Pt 2.36
Cl 0.0584 0.1168 0.1167  1 Pt 2.33
Cl 0.0584 0.1168 0.3833  1 Pt 2.33

Computed properties:
- symmetry = Cmcm (63)
- energy (eV per atom) = -3.35
- energy above the most stable polymorph in this dataset (eV per formula unit) = 0.000
- raw formation energy (eV per atom) = -1.11